Here is an optimized crystal structure of Dy4HoAl from the Alexandria database. Energies are from PBE-GGA.

Results
**E_form**: -0.21 eV per formula unit
**Energy above the lowest structure with this stoichiometry**: 84 meV/atom

Unit cell a=6.218 b=8.924 c=8.146 alpha=113.62 beta=99.82 gamma=112.66
Fractional coordinates of all 12 atoms:
1 Al 0.751 0.001 0.001
2 Al 0.249 0.999 0.999
3 Dy 0.226 0.603 0.766
4 Dy 0.960 0.837 0.234
5 Dy 0.774 0.397 0.234
6 Dy 0.040 0.163 0.766
7 Dy 0.240 0.284 0.370
8 Dy 0.370 0.914 0.630
9 Dy 0.630 0.086 0.370
10 Dy 0.760 0.716 0.630
11 Ho 0.658 0.408 0.817
12 Ho 0.342 0.592 0.183

Here is an optimized crystal structure of NiHg2Mo from the Alexandria database. Energies are from PBE-GGA.

Results
**E_form**: 2.07 eV per formula unit
**Energy above the lowest structure with this stoichiometry**: 239 meV/atom

Unit cell a=4.677 b=4.677 c=5.597 alpha=82.67 beta=82.67 gamma=35.96
Fractional coordinates of all 4 atoms:
1 Mo 0.507 0.507 0.462
2 Ni 0.245 0.245 0.293
3 Hg 0.755 0.755 0.727
4 Hg 0.993 0.993 0.018

Here is an optimized crystal structure of YHo4Al4 from the Alexandria database. Energies are from PBE-GGA.

Results
**E_form**: -1.39 eV per formula unit

Unit cell a=5.706 b=8.869 c=8.869 alpha=90.00 beta=90.00 gamma=90.00
Fractional coordinates of all 18 atoms:
1 Ho 0.609 0.837 0.575
2 Ho 0.391 0.575 0.163
3 Ho 0.891 0.663 0.925
4 Ho 0.391 0.425 0.837
5 Ho 0.609 0.163 0.425
6 Ho 0.109 0.925 0.337
7 Ho 0.891 0.337 0.075
8 Ho 0.109 0.075 0.663
9 Al 0.907 0.405 0.695
10 Al 0.907 0.595 0.305
11 Al 0.093 0.305 0.405
12 Al 0.407 0.195 0.095
13 Al 0.093 0.695 0.595
14 Al 0.407 0.805 0.905
15 Al 0.593 0.095 0.805
16 Al 0.593 0.905 0.195
17 Y 0.000 0.000 0.000
18 Y 0.500 0.500 0.500

Here is an optimized crystal structure of BaLi2Ca from the Alexandria database. Energies are from PBE-GGA.

Results
**E_form**: 0.92 eV per formula unit
**Energy above the lowest structure with this stoichiometry**: 196 meV/atom

Unit cell a=9.121 b=9.121 c=7.465 alpha=52.34 beta=52.34 gamma=90.00
Fractional coordinates of all 8 atoms:
1 Li 0.875 0.855 0.750
2 Li 0.375 0.395 0.750
3 Li 0.145 0.625 0.250
4 Li 0.605 0.125 0.250
5 Ca 0.500 0.500 0.000
6 Ca 0.250 0.750 0.500
7 Ba 0.000 0.000 0.000
8 Ba 0.750 0.250 0.500

Here is an optimized crystal structure of ScPa2Br8 from the Alexandria database. Energies are from PBE-GGA.

Results
**Formation energy without anion corrections**: -1.3318 eV per atom

Unit cell a=7.484 b=7.703 c=7.703 alpha=59.23 beta=88.44 gamma=88.44
Fractional coordinates of all 11 atoms:
1 Pa 0.466 0.909 0.909
2 Pa 0.534 0.091 0.091
3 Br 0.403 0.288 0.288
4 Br 0.878 0.190 0.190
5 Br 0.753 0.709 0.213
6 Br 0.122 0.810 0.810
7 Br 0.597 0.712 0.712
8 Br 0.753 0.213 0.709
9 Br 0.247 0.291 0.787
10 Br 0.247 0.787 0.291
11 Sc 0.000 0.000 0.000

Here is an optimized crystal structure of Sm2EuPd from the Alexandria database. Energies are from PBE-GGA.

Results
**E_form**: -1.09 eV per formula unit
**Energy above the lowest structure with this stoichiometry**: 64 meV/atom

Unit cell a=4.006 b=4.006 c=9.973 alpha=78.41 beta=78.41 gamma=60.00
Fractional coordinates of all 4 atoms:
1 Eu 0.500 0.500 0.500
2 Pd 0.000 0.000 0.000
3 Sm 0.275 0.275 0.175
4 Sm 0.725 0.725 0.825

Here is an optimized crystal structure of Ac3TmSn3 from the Alexandria database. Energies are from PBE-GGA.

Results
**E_form**: -3.29 eV per formula unit

Unit cell a=8.322 b=8.322 c=8.500 alpha=92.58 beta=92.58 gamma=112.97
Fractional coordinates of all 14 atoms:
1 Sn 0.487 0.146 0.296
2 Sn 0.072 0.072 0.792
3 Sn 0.854 0.513 0.704
4 Sn 0.146 0.487 0.296
5 Sn 0.928 0.928 0.208
6 Sn 0.513 0.854 0.704
7 Ac 0.389 0.389 0.656
8 Ac 0.230 0.770 0.000
9 Ac 0.770 0.230 0.000
10 Ac 0.162 0.838 0.500
11 Ac 0.838 0.162 0.500
12 Ac 0.611 0.611 0.344
13 Tm 0.767 0.767 0.893
14 Tm 0.233 0.233 0.107

Here is an optimized crystal structure of NaCa6Zn from the Alexandria database. Energies are from PBE-GGA.

Results
**E_form**: -0.02 eV per formula unit
**Energy above the lowest structure with this stoichiometry**: 0 meV/atom

Unit cell a=5.486 b=5.486 c=10.386 alpha=74.69 beta=74.69 gamma=90.00
Fractional coordinates of all 8 atoms:
1 Ca 0.251 0.251 0.499
2 Ca 0.896 0.396 0.208
3 Ca 0.604 0.104 0.792
4 Ca 0.749 0.749 0.501
5 Ca 0.396 0.896 0.208
6 Ca 0.104 0.604 0.792
7 Na 0.500 0.500 0.000
8 Zn 0.000 0.000 0.000

Here is an optimized crystal structure of Mg8CdIn5 from the Alexandria database. Energies are from PBE-GGA.

Results
**E_form**: -0.20 eV per formula unit
**Energy above the lowest structure with this stoichiometry**: 0 meV/atom

Unit cell a=7.636 b=7.636 c=7.636 alpha=111.70 beta=111.70 gamma=105.10
Fractional coordinates of all 14 atoms:
1 In 0.500 0.500 0.000
2 In 0.452 0.060 0.155
3 In 0.905 0.297 0.845
4 In 0.940 0.095 0.392
5 In 0.703 0.548 0.608
6 Mg 0.076 0.972 0.747
7 Mg 0.671 0.924 0.895
8 Mg 0.421 0.172 0.588
9 Mg 0.028 0.775 0.105
10 Mg 0.225 0.329 0.253
11 Mg 0.584 0.833 0.412
12 Mg 0.828 0.416 0.249
13 Mg 0.167 0.579 0.751
14 Cd 0.250 0.750 0.500

Here is an optimized crystal structure of PmSmSi2Pt5 from the Alexandria database. Energies are from PBE-GGA.

Results
**Formation energy without anion corrections**: -1.0577 eV per atom

Unit cell a=4.246 b=4.246 c=9.009 alpha=90.00 beta=90.00 gamma=90.00
Fractional coordinates of all 9 atoms:
1 Pt 0.500 0.500 0.500
2 Pt 0.500 0.000 0.263
3 Pt 0.500 0.000 0.737
4 Pt 0.000 0.500 0.737
5 Pt 0.000 0.500 0.263
6 Si 0.500 0.500 0.867
7 Si 0.500 0.500 0.133
8 Sm 0.000 0.000 0.000
9 Pm 0.000 0.000 0.500

Here is an optimized crystal structure of Tb3Sn2C from the Alexandria database. Energies are from PBE-GGA.

Results
**E_form**: -2.67 eV per formula unit

Unit cell a=6.687 b=6.873 c=6.873 alpha=100.47 beta=90.00 gamma=90.00
Fractional coordinates of all 12 atoms:
1 Tb 0.750 0.659 0.659
2 Tb 0.000 0.847 0.153
3 Tb 0.000 0.153 0.847
4 Tb 0.250 0.341 0.341
5 Tb 0.500 0.153 0.847
6 Tb 0.500 0.847 0.153
7 C 0.750 0.920 0.920
8 C 0.250 0.080 0.080
9 Sn 0.750 0.184 0.457
10 Sn 0.250 0.543 0.816
11 Sn 0.250 0.816 0.543
12 Sn 0.750 0.457 0.184

Here is an optimized crystal structure of TbPm3Nd2Sb6 from the Alexandria database. Energies are from PBE-GGA.

Results
**Formation energy without anion corrections**: -1.1793 eV per atom

Unit cell a=4.490 b=8.974 c=10.034 alpha=102.92 beta=102.93 gamma=90.00
Fractional coordinates of all 12 atoms:
1 Sb 0.334 0.416 0.667
2 Sb 0.666 0.584 0.333
3 Sb 0.001 0.755 0.002
4 Sb 0.335 0.919 0.670
5 Sb 0.999 0.245 0.998
6 Sb 0.665 0.081 0.330
7 Pm 0.832 0.166 0.665
8 Pm 0.168 0.834 0.335
9 Pm 0.500 0.500 0.000
10 Nd 0.834 0.668 0.668
11 Nd 0.166 0.332 0.332
12 Tb 0.500 0.000 0.000

For the records above, the corresponding total moment values read 0.00, 0.00, 0.00, 0.00, 0.73, 7.94, 0.00, 0.00, 0.00, 0.00, 0.00, 0.00 μB per cell.
For the records above, the corresponding DOS(E_F) values read 1.284, 0.639, 0.873, 1.098, 0.194, 1.274, 0.617, 1.311, 0.486, 0.465, 0.430, 0.160 states/eV per atom.